1.
Computed, not measured: a geometry-optimized YCrRe4 structure at the PBE level of DFT.

The space group is F-43m (No. 216) and the conventional cell measures 7.495, 7.495 and 7.495 Å, with angles of 90.00, 90.00 and 90.00 degrees. Symmetry generates all atoms from Y at (0.000, 0.000, 0.000), Cr at (0.250, 0.250, 0.250) and Re at (0.124, 0.124, 0.624).

=====

2.
Computed, not measured: a geometry-optimized YCrRe2 structure at the PBE level of DFT.

The space group is P2/m (No. 10) and the conventional cell measures 2.945, 3.943 and 6.130 Å, with angles of 90.00, 101.24 and 90.00 degrees. Symmetry generates all atoms from Y at (0.000, 0.000, 0.000), Cr at (0.000, 0.000, 0.500) and Re at (0.382, 0.500, 0.691).

The value obtained for the excess energy over the best structure of this formula in the dataset is 132 meV/atom.

=====

3.
Computed, not measured: a geometry-optimized YCrRe2 structure at the PBE level of DFT.

The space group is Cmm2 (No. 35) and the conventional cell measures 3.183, 4.625 and 9.024 Å, with angles of 90.00, 90.00 and 90.00 degrees. Symmetry generates all atoms from Y at (0.000, 0.000, 0.000), Cr at (0.000, 0.500, 0.273), Re at (0.000, 0.000, 0.480) and Re at (0.000, 0.500, 0.717).

The value obtained for the excess energy over the best structure of this formula in the dataset is 246 meV/atom.

=====

Q: Which formation enthalpy at 0 K values were calculated for the entries above? A: 0.186, 0.392, 0.506, in eV/atom.